# InSbPd

A relaxed InSbPd crystal (PBE-GGA, Alexandria via LeMat-Bulk).

abc: 6.1048 3.6045 3.6045
angles: 120.00 90.00 90.00
With the nearest neighbours (Å) after each atom.
Sites, in units of the cell vectors:
Sb 0.2898 0.3333 0.6667  3 Pd 2.70
Pd 0.0089 0.0000 0.0000  3 Sb 2.70, 3 In 2.80
In 0.7013 0.6667 0.3333  3 Pd 2.80

Calculated values
V: 22.9 Å³ per atom
Formation energy from raw total energies: -236 meV/atom
Total energy: -4.2542 eV/atom

=====

# In2SbPd9

A relaxed In2SbPd9 crystal (PBE-GGA, Alexandria via LeMat-Bulk).

abc: 4.0382 4.0382 12.1526
angles: 90.00 90.00 90.00
With the nearest neighbours (Å) after each atom.
Sites, in units of the cell vectors:
In 0.0000 0.0000 0.3362  12 Pd 2.84-2.90
In 0.0000 0.0000 0.6638  12 Pd 2.84-2.90
Sb 0.0000 0.0000 0.0000  12 Pd 2.85-2.86
Pd 0.5000 0.5000 0.0000  8 Pd 2.85, 4 Sb 2.86
Pd 0.5000 0.5000 0.3311  8 Pd 2.86-2.88, 4 In 2.86
Pd 0.5000 0.5000 0.6689  8 Pd 2.86-2.88, 4 In 2.86
Pd 0.5000 0.0000 0.1650  2 Sb 2.85, 8 Pd 2.85-2.86, 2 In 2.90
Pd 0.5000 0.0000 0.5000  4 In 2.84, 8 Pd 2.86-2.88
Pd 0.5000 0.0000 0.8350  2 Sb 2.85, 8 Pd 2.85-2.86, 2 In 2.90
Pd 0.0000 0.5000 0.1650  8 Pd 2.85-2.86, 2 Sb 2.85, 2 In 2.90
Pd 0.0000 0.5000 0.5000  4 In 2.84, 8 Pd 2.86-2.88
Pd 0.0000 0.5000 0.8350  8 Pd 2.85-2.86, 2 Sb 2.85, 2 In 2.90

Calculated values
V: 16.5 Å³ per atom
Formation energy from raw total energies: -437 meV/atom
Total energy: -5.1313 eV/atom

=====

# InSb3Pd

A relaxed InSb3Pd crystal (PBE-GGA, Alexandria via LeMat-Bulk).

abc: 5.2908 5.2908 5.2908
angles: 90.00 90.00 90.00
With the nearest neighbours (Å) after each atom.
Sites, in units of the cell vectors:
Sb 0.0000 0.5000 0.0000  2 Pd 2.65
Sb 0.0000 0.0000 0.5000  2 Pd 2.65
Sb 0.5000 0.0000 0.0000  2 Pd 2.65
Pd 0.0000 0.0000 0.0000  6 Sb 2.65
In 0.5000 0.5000 0.5000  12 Sb 3.74

Calculated values
V: 29.6 Å³ per atom
Formation energy from raw total energies: 289 meV/atom
Total energy: -3.7711 eV/atom

=====

# In2Sb2Pd7

A relaxed In2Sb2Pd7 crystal (PBE-GGA, Alexandria via LeMat-Bulk).

abc: 4.9066 6.7906 6.7906
angles: 97.30 105.70 105.70
With the nearest neighbours (Å) after each atom.
Sites, in units of the cell vectors:
In 0.0864 0.2067 0.2067  5 Pd 2.67-2.95
In 0.9136 0.7933 0.7933  5 Pd 2.67-2.95
Sb 0.0000 0.2873 0.7127  6 Pd 2.63-2.76
Sb 0.0000 0.7127 0.2873  6 Pd 2.63-2.76
Pd 0.6783 0.9248 0.4115  2 Sb 2.63-2.76, 4 Pd 2.71-2.89, 1 In 2.89
Pd 0.3217 0.5885 0.0752  2 Sb 2.63-2.76, 4 Pd 2.71-2.89, 1 In 2.89
Pd 0.3217 0.0752 0.5885  2 Sb 2.63-2.76, 4 Pd 2.71-2.89, 1 In 2.89
Pd 0.6783 0.4115 0.9248  2 Sb 2.63-2.76, 4 Pd 2.71-2.89, 1 In 2.89
Pd 0.5000 0.0000 0.0000  2 In 2.71, 4 Pd 2.85
Pd 0.3214 0.6267 0.6267  2 Sb 2.65, 2 In 2.67-2.95
Pd 0.6786 0.3733 0.3733  2 Sb 2.65, 2 In 2.67-2.95

Calculated values
V: 18.6 Å³ per atom
Formation energy from raw total energies: -341 meV/atom
Total energy: -4.8930 eV/atom